(1)
# PBE LaTiS2, optimized geometry
# Total DFT energy (no corrections), eV/atom: -6.545
# ΔE to the lowest computed polymorph, meV/atom: 24.9
# Total magnetization, μB/cell: 3.44
# Formation energy from raw total energies, eV per formula unit: -5.10
data_LaTiS2
_chemical_formula_sum 'La4 Ti4 S8'
_cell_length_a 5.900
_cell_length_b 5.900
_cell_length_c 12.091
_cell_angle_alpha 90.00
_cell_angle_beta 90.00
_cell_angle_gamma 90.00
_space_group_name_H-M_alt 'I -4 2 d'
_space_group_IT_number 122
_space_group_name_Hall 'I -4 2bw'
loop_
_atom_site_label
_atom_site_type_symbol
_atom_site_fract_x
_atom_site_fract_y
_atom_site_fract_z
_atom_site_occupancy
La1 La 0.000 0.000 0.000 1
Ti1 Ti 0.000 0.000 0.500 1
S1 S 0.185 0.250 0.625 1

(2)
# PBE LiZnPd, optimized geometry
# ΔE_f, eV per formula unit: -1.39
# Total DFT energy (no corrections), eV/atom: -3.257
# ΔE to the lowest computed polymorph, meV/atom: 14.1
# Total magnetization, μB/cell: 0.00
data_LiZnPd
_chemical_formula_sum 'Li4 Zn4 Pd4'
_cell_length_a 2.932
_cell_length_b 13.547
_cell_length_c 4.310
_cell_angle_alpha 90.00
_cell_angle_beta 90.00
_cell_angle_gamma 90.00
_space_group_name_H-M_alt 'C m c m'
_space_group_IT_number 63
_space_group_name_Hall '-C 2c 2'
loop_
_atom_site_label
_atom_site_type_symbol
_atom_site_fract_x
_atom_site_fract_y
_atom_site_fract_z
_atom_site_occupancy
Li1 Li 0.000 0.234 0.250 1
Zn1 Zn 0.000 0.430 0.750 1
Pd1 Pd 0.000 0.099 0.750 1

(3)
# PBE LiZr4Ru, optimized geometry
# ΔE_f, eV per formula unit: 3.63
# Total DFT energy (no corrections), eV/atom: -6.960
# Total magnetization, μB/cell: 0.00
data_LiZr4Ru
_chemical_formula_sum 'Li4 Zr16 Ru4'
_cell_length_a 8.007
_cell_length_b 8.007
_cell_length_c 8.007
_cell_angle_alpha 90.00
_cell_angle_beta 90.00
_cell_angle_gamma 90.00
_space_group_name_H-M_alt 'F -4 3 m'
_space_group_IT_number 216
_space_group_name_Hall 'F -4 2 3'
loop_
_atom_site_label
_atom_site_type_symbol
_atom_site_fract_x
_atom_site_fract_y
_atom_site_fract_z
_atom_site_occupancy
Li1 Li 0.000 0.000 0.000 1
Zr1 Zr 0.123 0.123 0.377 1
Ru1 Ru 0.250 0.250 0.750 1